The following is a PBE-GGA calculation of a geometry-optimized CsMg2TlS structure, from Alexandria via LeMat-Bulk.

- density of states at the Fermi level (states/eV/cell) = 1.62
- final energy (eV per atom) = -1.86
- ΔE_f (raw) (eV/f.u.) = 1.24

Unit cell a=5.395 b=5.395 c=6.661 alpha=90.00 beta=90.00 gamma=90.00
Space group P4/mmm (No. 123)
Symmetry-distinct sites (fractional):
Cs1 0.000 0.000 0.000 (multiplicity 1)
Mg1 0.000 0.500 0.500 (multiplicity 2)
Tl1 0.000 0.000 0.500 (multiplicity 1)
S1 0.500 0.500 0.000 (multiplicity 1)

***

The following is a PBE-GGA calculation of a geometry-optimized Cs3Tm2MgS6 structure, from Alexandria via LeMat-Bulk.

- density of states at the Fermi level (states/eV/cell) = 21.86
- final energy (eV per atom) = -4.65
- ΔE_f (raw) (eV/f.u.) = -17.96

Unit cell a=6.974 b=12.080 c=8.335 alpha=90.00 beta=106.20 gamma=90.00
Space group C2/m (No. 12)
Symmetry-distinct sites (fractional):
Cs1 0.000 0.000 0.000 (multiplicity 2)
Cs2 0.000 0.334 0.000 (multiplicity 4)
Tm1 0.000 0.167 0.500 (multiplicity 4)
Mg1 0.000 0.500 0.500 (multiplicity 2)
S1 0.225 0.334 0.678 (multiplicity 8)
S2 0.228 0.000 0.677 (multiplicity 4)

***

Which formula does entry 2 have?
Cs3Tm2MgS6